This record from the Alexandria database describes Tm3ScGa3 after structural relaxation. The functional is GGA-PBE.

Results
The calculation puts the calculated total energy at -62.7 eV for the cell shown. Its formation energy is -2.5 eV/f.u.

Structure (extended XYZ):
```
14
Lattice="-2.0169 6.1797 2.5296 -6.3669 -2.3927 -1.5468 -0.3686 -2.8331 6.3513" Properties=species:S:1:pos:R:3 pbc="T T T"
Tm -5.5840 1.4580 2.8929
Tm -5.7196 -2.1705 2.4081
Tm -3.0328 3.1244 4.9259
Tm -5.2203 -0.1331 -0.4723
Tm -3.1635 3.9201 1.4551
Tm -3.1684 -0.5041 4.4412
Sc -6.4575 0.2923 6.2764
Sc -2.2948 0.6616 1.0577
Ga -8.1170 3.0904 2.1630
Ga -5.4657 2.8531 6.4679
Ga -7.6240 -1.4003 4.4454
Ga -3.2867 -1.8992 0.8661
Ga -1.1283 2.3542 2.8887
Ga -0.6353 -2.1365 5.1711
```